# Ca5Dy3Ti5Mn3O24

An optimized crystal structure of Ca5Dy3Ti5Mn3O24 (GGA+U, Alexandria via LeMat-Bulk).

a = 5.3844 Å, b = 5.6253 Å, c = 15.2908 Å
α = 90.10°, β = 90.14°, γ = 90.74°
With the nearest neighbours (Å) after each atom.
Element x y z (fractional)
Ca1 0.0098 0.0523 0.6244  5 O 2.32-2.57
Ca2 0.0168 0.0586 0.1271  6 O 2.32-2.59
Ca3 0.4923 0.5531 0.6244  4 O 2.31-2.43
Ca4 0.5081 0.4518 0.8722  6 O 2.36-2.63
Ca5 0.9926 0.9539 0.8711  5 O 2.31-2.55
Dy1 0.4854 0.5697 0.1282  6 O 2.28-2.47
Dy2 0.5170 0.4278 0.3743  6 O 2.27-2.50
Dy3 0.9781 0.9276 0.3755  6 O 2.27-2.50
Ti1 0.9899 0.5181 0.0007  5 O 1.87-2.08
Ti2 0.0126 0.5003 0.7487  6 O 1.89-2.11
Ti3 0.0078 0.4969 0.5015  6 O 1.87-2.06
Ti4 0.5124 0.9928 0.7497  5 O 1.91-2.04
Ti5 0.5079 0.0237 0.0010  4 O 1.89-1.97
Mn1 0.0036 0.4952 0.2500  6 O 1.94-2.13
Mn2 0.4978 0.9997 0.2504  5 O 1.91-2.12
Mn3 0.4915 0.9950 0.5003  6 O 1.97-2.17
O1 0.0766 0.5220 0.8756  2 Ti 1.97
O2 0.1109 0.5328 0.3754  1 Mn 2.01, 1 Ti 2.02
O3 0.1854 0.8033 0.5211  1 Ti 1.98, 1 Mn 1.98
O4 0.2109 0.7809 0.0256  2 Ti 1.92-2.12
O5 0.1985 0.7932 0.7299  2 Ti 1.94-2.04
O6 0.2137 0.8053 0.2237  2 Mn 1.91-2.11
O7 0.3033 0.3184 0.2261  2 Mn 1.94-2.12
O8 0.2848 0.2975 0.7298  1 Ti 1.89
O9 0.2944 0.3194 0.5210  1 Ti 1.87
O10 0.3094 0.2952 0.0265  1 Ti 1.92
O11 0.4168 0.0231 0.8764  2 Ti 1.97-2.01
O12 0.3879 0.0311 0.3777  2 Mn 1.97-2.04
O13 0.5957 0.9654 0.1222  1 Ti 1.94, 1 Mn 2.04
O14 0.5775 0.9741 0.6254  1 Ti 1.94, 1 Mn 1.97
O15 0.7059 0.6985 0.9797  1 Ti 1.87
O16 0.7005 0.7146 0.7717  2 Ti 1.91-2.11
O17 0.7118 0.6863 0.4676  1 Ti 2.00, 1 Mn 2.17
O18 0.7101 0.6828 0.2759  2 Mn 1.95-2.17
O19 0.7840 0.2109 0.7710  2 Ti 1.92-2.06
O20 0.7910 0.1857 0.2813  2 Mn 1.94-2.13
O21 0.8008 0.1996 0.9769  2 Ti 1.89-2.08
O22 0.7986 0.1991 0.4720  1 Mn 2.05, 1 Ti 2.06
O23 0.9125 0.4759 0.6252  2 Ti 1.96-1.97
O24 0.8955 0.4685 0.1229  1 Ti 1.96, 1 Mn 2.03

Total DFT energy (no corrections)   -8.050 eV per atom